(1)
Density functional theory data (PBE) for crystalline MnBi at its relaxed geometry.

Properties
DFT formation energy: 0.6198 eV/atom

abc: 6.3720 6.3720 6.3720
angles: 90.00 90.00 90.00
Closest atoms and distances in Å follow each position.
Space group F-43m (No. 216)
Inequivalent atoms, fractional coordinates:
Mn1 0.0000 0.0000 0.0000  4 Bi 2.76
Bi1 0.2500 0.2500 0.7500  4 Mn 2.76

***

(2)
Density functional theory data (PBE) for crystalline Sr2ZnCdIn at its relaxed geometry.

Properties
DFT formation energy: -0.0577 eV/atom

abc: 6.0247 6.0247 4.9537
angles: 90.00 90.00 90.00
Closest atoms and distances in Å follow each position.
Space group P4/mmm (No. 123)
Inequivalent atoms, fractional coordinates:
Sr1 0.0000 0.5000 0.0000  2 Zn 3.01
Zn1 0.0000 0.0000 0.0000  2 Cd 2.48
Cd1 0.0000 0.0000 0.5000  2 Zn 2.48
In1 0.5000 0.5000 0.5000  8 Sr 3.90, 4 Cd 4.26

***

Number 1: volume 32.34 Å³/atom. Number 2: volume 35.96 Å³/atom.